Crystalline CoSi3 at its relaxed geometry. Source: the Alexandria database, functional GGA-PBE.

## Properties
Uncorrected formation energy: 0.145 eV/atom
DOS(E_F): 1.66 states/eV/f.u.

abc: 3.319 4.094 3.896
angles: 90.00 90.00 90.00
Sites, in units of the cell vectors:
Co1 0.000 0.000 0.000
Si1 0.000 0.500 0.279
Si2 0.500 0.000 0.406
Si3 0.500 0.500 0.779

=====

Crystalline KSi2Pt at its relaxed geometry. Source: the Alexandria database, functional GGA-PBE.

## Properties
Uncorrected formation energy: -0.100 eV/atom
DOS(E_F): 1.35 states/eV/f.u.

abc: 2.817 4.212 6.997
angles: 90.00 90.07 90.00
Sites, in units of the cell vectors:
K1 0.000 0.000 0.000
Si1 0.498 0.500 0.681
Si2 0.502 0.500 0.319
Pt1 0.500 0.000 0.500

=====

Crystalline Mg5SnPd at its relaxed geometry. Source: the Alexandria database, functional GGA-PBE.

## Properties
ΔE to the lowest computed polymorph: 1.508 eV per formula unit
Energy of formation from the pure elements: -0.0280 eV per atom
DOS(E_F): 2.10 states/eV/f.u.

abc: 7.261 7.261 10.059
angles: 118.83 118.83 63.18
Sites, in units of the cell vectors:
Mg1 0.009 0.991 0.750
Mg2 0.246 0.252 0.659
Mg3 0.252 0.246 0.159
Mg4 0.278 0.627 0.529
Mg5 0.373 0.722 0.971
Mg6 0.627 0.278 0.029
Mg7 0.722 0.373 0.471
Mg8 0.748 0.754 0.841
Mg9 0.754 0.748 0.341
Mg10 0.991 0.009 0.250
Sn1 0.374 0.626 0.250
Sn2 0.626 0.374 0.750
Pd1 0.000 0.000 0.000
Pd2 0.000 0.000 0.500